1.
A geometry-optimized SrTl2CuPb structure, computed with PBE-GGA.

Electronic total energy in eV per atom: -2.893
Formation enthalpy at 0 K in eV per formula unit: -0.25
DOS(E_F) in states/eV per cell: 1.65

a = 5.311 Å, b = 5.311 Å, c = 5.376 Å
α = 90.00°, β = 90.00°, γ = 90.00°
Positions (direct):
Pb 0.000 0.000 0.500
Sr 0.500 0.500 0.500
Tl 0.000 0.500 0.000
Tl 0.500 0.000 0.000
Cu 0.000 0.000 0.000

---

2.
A geometry-optimized Sr2ZrCuPb structure, computed with PBE-GGA.

Electronic total energy in eV per atom: -3.250
Formation enthalpy at 0 K in eV per formula unit: 3.47
DOS(E_F) in states/eV per cell: 8.54

a = 6.308 Å, b = 5.589 Å, c = 6.308 Å
α = 90.00°, β = 90.00°, γ = 90.00°
Positions (direct):
Pb 0.000 0.000 0.000
Sr 0.000 0.000 0.500
Sr 0.500 0.000 0.000
Cu 0.500 0.500 0.500
Zr 0.000 0.500 0.000

---

3.
A geometry-optimized TaCuPb3 structure, computed with PBE-GGA.

Electronic total energy in eV per atom: -4.537
Energy above the lowest structure with this stoichiometry in meV per atom: 0
Formation enthalpy at 0 K in eV per formula unit: 4.39
DOS(E_F) in states/eV per cell: 2.03

a = 5.512 Å, b = 5.512 Å, c = 5.512 Å
α = 90.00°, β = 90.00°, γ = 90.00°
Positions (direct):
Pb 0.000 0.500 0.000
Pb 0.000 0.000 0.500
Pb 0.500 0.000 0.000
Cu 0.500 0.500 0.500
Ta 0.000 0.000 0.000